# 1
Crystalline Nd3Co3Te at its relaxed geometry. Source: Alexandria, functional PBE-GGA. Values from VASP.

```
&SYSTEM
  ibrav = 0, nat = 14, ntyp = 3
/
ATOMIC_SPECIES
Nd 144.24 Nd.upf
Co 58.93 Co.upf
Te 127.60 Te.upf
CELL_PARAMETERS angstrom
9.636 0.000 0.000
-4.818 8.345 0.000
0.000 0.000 4.103
ATOMIC_POSITIONS crystal
Nd 0.074 0.384 0.250
Nd 0.310 0.926 0.250
Nd 0.384 0.310 0.750
Nd 0.616 0.690 0.250
Nd 0.690 0.074 0.750
Nd 0.926 0.616 0.750
Co 0.017 0.151 0.750
Co 0.134 0.983 0.750
Co 0.151 0.134 0.250
Co 0.849 0.866 0.750
Co 0.866 0.017 0.250
Co 0.983 0.849 0.250
Te 0.333 0.667 0.750
Te 0.667 0.333 0.250
```

Computed properties:
* spin magnetization: 2.20 μB/f.u.
* space group: P6_3/m (176)
* formation energy from raw total energies: -414 meV per atom
* N(E_F): 1.5760 states/eV/atom

***

# 2
Crystalline CrAgCl2 at its relaxed geometry. Source: Alexandria, functional PBE-GGA. Values from VASP.

```
&SYSTEM
  ibrav = 0, nat = 8, ntyp = 3
/
ATOMIC_SPECIES
Cr 52.00 Cr.upf
Ag 107.87 Ag.upf
Cl 35.45 Cl.upf
CELL_PARAMETERS angstrom
-3.053 3.053 5.625
3.053 -3.053 5.625
3.053 3.053 -5.625
ATOMIC_POSITIONS crystal
Cr 0.000 0.000 0.000
Cr 0.750 0.250 0.500
Ag 0.250 0.750 0.500
Ag 0.500 0.500 0.000
Cl 0.103 0.625 0.978
Cl 0.375 0.353 0.478
Cl 0.647 0.125 0.022
Cl 0.875 0.897 0.522
```

Computed properties:
* spin magnetization: 4.92 μB/f.u.
* space group: I-42d (122)
* formation energy from raw total energies: -240 meV per atom
* N(E_F): 0.5885 states/eV/atom
* energy above the lowest structure with this stoichiometry: 0.155 eV/atom

***

# 3
Crystalline ZnGa2Sb at its relaxed geometry. Source: Alexandria, functional PBE-GGA. Values from VASP.

```
&SYSTEM
  ibrav = 0, nat = 4, ntyp = 3
/
ATOMIC_SPECIES
Zn 65.41 Zn.upf
Ga 69.72 Ga.upf
Sb 121.76 Sb.upf
CELL_PARAMETERS angstrom
2.085 1.204 5.872
-2.085 1.204 5.872
0.000 -2.407 5.872
ATOMIC_POSITIONS crystal
Zn 0.000 0.000 0.000
Ga 0.408 0.408 0.408
Ga 0.597 0.597 0.597
Sb 0.166 0.166 0.166
```

Computed properties:
* spin magnetization: 0.00 μB/f.u.
* space group: R3m (160)
* formation energy from raw total energies: 81 meV per atom
* N(E_F): 0.4630 states/eV/atom
* energy above the lowest structure with this stoichiometry: 0.000 eV/atom